Material: La3PrTlRu
Method: DFT, PBE
State: relaxed

Summary:
**Spin magnetization**: 0.0 μB/f.u.
**Uncorrected energy**: -65.7 eV/cell
**DFT formation energy**: -27 kJ/mol of atoms
**Space group**: C2/m
**V**: 373.4 Å³/cell

The structure in extended XYZ format:
```
12
Lattice="8.219 -3.830 0.000 8.219 3.830 0.000 -2.131 0.000 5.931" Properties=species:S:1:pos:R:3 pbc="T T T"
La 4.372 1.955 5.334
La 1.554 0.000 3.874
La 9.936 1.955 0.597
La 4.372 -1.955 5.334
La 12.754 0.000 2.057
La 9.936 -1.955 0.597
Pr 7.154 1.533 2.965
Pr 7.154 -1.533 2.965
Tl 4.359 0.000 1.759
Tl 9.948 0.000 4.172
Ru -0.493 0.000 1.426
Ru 14.801 0.000 4.505
```

---

Material: La2PrTlRu
Method: DFT, PBE
State: relaxed

Summary:
**Spin magnetization**: 0.0 μB/f.u.
**Uncorrected energy**: -27.5 eV/cell
**DFT formation energy**: -24 kJ/mol of atoms
**Space group**: P4mm
**V**: 165.2 Å³/cell

The structure in extended XYZ format:
```
5
Lattice="5.411 0.000 0.000 0.000 5.411 0.000 0.000 0.000 5.641" Properties=species:S:1:pos:R:3 pbc="T T T"
La 0.000 2.706 0.000
La 2.706 0.000 0.000
Pr 0.000 0.000 2.825
Tl 2.706 2.706 2.817
Ru 0.000 0.000 0.006
```

---

Material: LaPr3S6
Method: DFT, PBE
State: relaxed

Summary:
**Spin magnetization**: 0.0 μB/f.u.
**Uncorrected energy**: -129.5 eV/cell
**Space group**: P2_1/m
**Raw formation energy**: -2.0705 eV/atom
**V**: 534.8 Å³/cell

The structure in extended XYZ format:
```
20
Lattice="11.460 0.000 0.000 0.000 4.171 0.000 -3.627 0.000 11.190" Properties=species:S:1:pos:R:3 pbc="T T T"
La -0.153 1.043 2.110
La 7.985 3.128 9.080
Pr -0.275 1.043 6.545
Pr 0.037 3.128 11.142
Pr 3.782 1.043 3.703
Pr 4.050 3.128 7.488
Pr 7.796 1.043 0.048
Pr 8.107 3.128 4.645
S -0.504 3.128 4.498
S -2.198 1.043 10.752
S -0.557 3.128 8.379
S 2.132 3.128 2.503
S 2.545 1.043 6.310
S 5.064 1.043 1.230
S 2.769 3.128 9.961
S 5.287 3.128 4.880
S 5.701 1.043 8.687
S 8.390 1.043 2.812
S 10.031 3.128 0.439
S 8.336 1.043 6.693
```

---

Material: LaPr5S6
Method: DFT, PBE
State: relaxed

Summary:
**Spin magnetization**: 0.0 μB/f.u.
**Uncorrected energy**: -78.2 eV/cell
**Space group**: C2/m
**Raw formation energy**: -2.0512 eV/atom
**V**: 295.3 Å³/cell

The structure in extended XYZ format:
```
12
Lattice="3.561 -6.186 0.000 3.561 6.186 0.000 -2.399 0.000 6.703" Properties=species:S:1:pos:R:3 pbc="T T T"
La 0.000 0.000 0.000
Pr 2.362 4.114 3.351
Pr 3.561 2.074 0.000
Pr 2.362 0.000 3.351
Pr 3.561 -2.074 0.000
Pr 2.362 -4.114 3.351
S 1.184 2.062 1.681
S -0.013 0.000 5.026
S 1.184 -2.062 1.681
S 3.540 2.062 5.022
S 4.737 0.000 1.677
S 3.540 -2.062 5.022
```

---

Material: La3Pr5S8
Method: DFT, PBE
State: relaxed

Summary:
**Spin magnetization**: 0.0 μB/f.u.
**Uncorrected energy**: -105.0 eV/cell
**Space group**: R-3m
**Raw formation energy**: -2.0791 eV/atom
**V**: 397.1 Å³/cell

The structure in extended XYZ format:
```
16
Lattice="4.127 2.383 6.729 -4.127 2.383 6.729 0.000 -4.766 6.729" Properties=species:S:1:pos:R:3 pbc="T T T"
La -2.064 -1.191 6.729
La -2.064 1.191 13.458
La 0.000 2.383 6.729
Pr 0.000 0.000 0.000
Pr -4.127 0.000 10.093
Pr -2.064 1.191 3.364
Pr 2.064 1.191 3.364
Pr 0.000 0.000 10.093
S 0.000 0.000 5.036
S -2.067 -1.193 11.770
S 0.000 -2.387 8.417
S -2.067 1.193 8.417
S 2.067 -1.193 11.770
S 0.000 2.387 11.770
S 2.067 1.193 8.417
S 0.000 0.000 15.151
```

---

Material: La2PrS4
Method: DFT, PBE
State: relaxed

Summary:
**Spin magnetization**: 0.0 μB/f.u.
**Uncorrected energy**: -91.7 eV/cell
**Space group**: Cmcm
**Raw formation energy**: -2.1009 eV/atom
**V**: 377.3 Å³/cell

The structure in extended XYZ format:
```
14
Lattice="1.999 -6.916 0.000 1.999 6.916 0.000 0.000 0.000 13.644" Properties=species:S:1:pos:R:3 pbc="T T T"
La 1.999 5.124 7.800
La 1.999 5.124 12.666
La 1.999 -5.124 0.978
La 1.999 -5.124 5.844
Pr 1.999 1.744 10.233
Pr 1.999 -1.744 3.411
S 1.999 6.592 10.233
S 1.999 3.827 1.680
S 1.999 3.827 5.142
S 1.999 0.000 0.000
S 1.999 0.000 6.822
S 1.999 -3.827 8.502
S 1.999 -3.827 11.964
S 1.999 -6.592 3.411
```

---

Material: La5PrS8
Method: DFT, PBE
State: relaxed

Summary:
**Spin magnetization**: 0.0 μB/f.u.
**Uncorrected energy**: -92.5 eV/cell
**Space group**: I-4
**Raw formation energy**: -2.1457 eV/atom
**V**: 332.8 Å³/cell

The structure in extended XYZ format:
```
14
Lattice="-4.384 4.384 4.330 4.384 -4.384 4.330 4.384 4.384 -4.330" Properties=species:S:1:pos:R:3 pbc="T T T"
La 0.000 0.000 0.000
La 5.552 2.194 -1.086
La 2.194 3.215 1.086
La -1.168 2.190 3.244
La 2.190 1.168 5.416
Pr 4.384 0.000 2.165
S 2.859 0.645 -0.429
S 2.852 3.747 -1.726
S 1.532 0.636 2.604
S 3.738 -1.524 4.759
S 5.020 2.852 1.726
S 0.645 5.908 0.429
S -0.636 1.532 6.056
S 1.524 3.738 3.901
```

---

Material: LaPrS2
Method: DFT, PBE
State: relaxed

Summary:
**Spin magnetization**: 0.0 μB/f.u.
**Uncorrected energy**: -52.6 eV/cell
**Space group**: P6_3/mmc
**Raw formation energy**: -2.0826 eV/atom
**V**: 200.1 Å³/cell

The structure in extended XYZ format:
```
8
Lattice="4.097 0.000 0.000 -2.049 3.548 0.000 0.000 0.000 13.762" Properties=species:S:1:pos:R:3 pbc="T T T"
La 0.000 0.000 0.000
La 0.000 0.000 6.881
Pr 0.000 2.366 3.440
Pr 2.049 1.183 10.321
S 0.000 2.366 8.589
S 0.000 2.366 12.054
S 2.049 1.183 1.708
S 2.049 1.183 5.173
```

---

Material: LaPr4S5
Method: DFT, PBE
State: relaxed

Summary:
**Spin magnetization**: 0.0 μB/f.u.
**Uncorrected energy**: -65.2 eV/cell
**Space group**: Immm
**Raw formation energy**: -2.0487 eV/atom
**V**: 246.5 Å³/cell

The structure in extended XYZ format:
```
10
Lattice="-2.057 2.909 10.297 2.057 -2.909 10.297 2.057 2.909 -10.297" Properties=species:S:1:pos:R:3 pbc="T T T"
La 0.000 0.000 0.000
Pr 0.000 0.000 4.121
Pr 0.000 0.000 8.229
Pr 0.000 0.000 12.365
Pr 0.000 0.000 16.474
S 2.057 0.000 2.076
S 2.057 0.000 6.176
S 0.000 2.909 0.000
S 0.000 2.909 4.122
S 0.000 2.909 8.221
```

---

Material: LaPrS2
Method: DFT, PBE
State: relaxed

Summary:
**Spin magnetization**: 0.0 μB/f.u.
**Uncorrected energy**: -78.1 eV/cell
**Space group**: R3m
**Raw formation energy**: -2.0209 eV/atom
**V**: 303.6 Å³/cell

The structure in extended XYZ format:
```
12
Lattice="4.049 0.000 0.000 -2.025 3.507 0.000 0.000 0.000 21.385" Properties=species:S:1:pos:R:3 pbc="T T T"
La 0.000 0.000 0.000
La 0.000 2.338 14.257
La 2.025 1.169 7.128
Pr 0.000 0.000 3.795
Pr 0.000 2.338 18.052
Pr 2.025 1.169 10.923
S 0.000 0.000 12.549
S 0.000 0.000 16.189
S 0.000 2.338 5.421
S 0.000 2.338 9.061
S 2.025 1.169 1.933
S 2.025 1.169 19.677
```

---

Material: LaPrS
Method: DFT, PBE
State: relaxed

Summary:
**Spin magnetization**: 1.4 μB/f.u.
**Uncorrected energy**: -17.6 eV/cell
**Space group**: P3m1
**Raw formation energy**: -1.2467 eV/atom
**V**: 94.6 Å³/cell

The structure in extended XYZ format:
```
3
Lattice="4.059 0.000 0.000 -2.030 3.515 0.000 0.000 0.000 6.632" Properties=species:S:1:pos:R:3 pbc="T T T"
La 0.000 0.000 0.000
Pr 2.030 1.172 3.272
S 0.000 2.344 4.940
```

---

Material: La3PrS
Method: DFT, PBE
State: relaxed

Summary:
**Spin magnetization**: 0.0 μB/f.u.
**Uncorrected energy**: -27.4 eV/cell
**Space group**: Pm-3m
**Raw formation energy**: -0.7349 eV/atom
**V**: 178.2 Å³/cell

The structure in extended XYZ format:
```
5
Lattice="5.627 0.000 0.000 0.000 5.627 0.000 0.000 0.000 5.627" Properties=species:S:1:pos:R:3 pbc="T T T"
La 0.000 0.000 2.814
La 0.000 2.814 0.000
La 2.814 0.000 0.000
Pr 2.814 2.814 2.814
S 0.000 0.000 0.000
```

---

Material: LaPrS
Method: DFT, PBE
State: relaxed

Summary:
**Spin magnetization**: 0.2 μB/f.u.
**Uncorrected energy**: -64.4 eV/cell
**Space group**: Immm
**Raw formation energy**: -0.7584 eV/atom
**V**: 359.1 Å³/cell

The structure in extended XYZ format:
```
12
Lattice="3.736 0.000 0.000 0.000 5.603 0.000 0.000 0.000 17.154" Properties=species:S:1:pos:R:3 pbc="T T T"
La 0.000 0.000 3.024
La 0.000 0.000 14.129
La 1.868 2.802 5.552
La 1.868 2.802 11.601
Pr 0.000 1.386 8.577
Pr 0.000 4.218 8.577
Pr 1.868 1.416 0.000
Pr 1.868 4.187 0.000
S 0.000 0.000 5.847
S 0.000 0.000 11.307
S 1.868 2.802 2.730
S 1.868 2.802 14.423
```

---

Material: La3PrS4
Method: DFT, PBE
State: relaxed

Summary:
**Spin magnetization**: 0.0 μB/f.u.
**Uncorrected energy**: -106.3 eV/cell
**Space group**: Cmmm
**Raw formation energy**: -2.1351 eV/atom
**V**: 402.5 Å³/cell

The structure in extended XYZ format:
```
16
Lattice="8.309 0.000 0.000 0.000 11.730 0.000 0.000 0.000 4.129" Properties=species:S:1:pos:R:3 pbc="T T T"
La 0.000 0.000 0.000
La 2.077 2.933 2.065
La 2.077 8.798 2.065
La 4.155 5.865 0.000
La 6.232 2.933 2.065
La 6.232 8.798 2.065
Pr 0.000 5.865 0.000
Pr 4.155 0.000 0.000
S 0.000 2.942 0.000
S 0.000 8.789 0.000
S 2.068 5.865 2.065
S 2.087 0.000 2.065
S 4.155 2.923 0.000
S 4.155 8.807 0.000
S 6.222 0.000 2.065
S 6.242 5.865 2.065
```

---

Material: La3PrS4
Method: DFT, PBE
State: relaxed

Summary:
**Spin magnetization**: 0.0 μB/f.u.
**Uncorrected energy**: -106.4 eV/cell
**Space group**: P2/c
**Raw formation energy**: -2.1384 eV/atom
**V**: 402.3 Å³/cell

The structure in extended XYZ format:
```
16
Lattice="7.193 0.000 0.000 0.000 8.245 0.000 -2.391 0.000 6.784" Properties=species:S:1:pos:R:3 pbc="T T T"
La -0.598 1.027 1.696
La -1.793 3.087 5.088
La -0.598 5.157 1.696
La -1.793 7.218 5.088
La 2.999 3.087 1.696
La 1.803 5.158 5.088
Pr 1.803 1.026 5.088
Pr 2.999 7.219 1.696
S -0.584 1.025 6.784
S 0.606 3.086 3.398
S 1.801 5.158 0.006
S 0.612 7.220 3.392
S 4.190 1.025 3.393
S 3.000 3.086 6.779
S 4.196 5.158 3.387
S 5.386 7.220 0.000
```

---

Material: La4Pr3S8
Method: DFT, PBE
State: relaxed

Summary:
**Spin magnetization**: 0.0 μB/f.u.
**Uncorrected energy**: -98.5 eV/cell
**Space group**: C2/m
**Raw formation energy**: -2.0985 eV/atom
**V**: 398.7 Å³/cell

The structure in extended XYZ format:
```
15
Lattice="5.842 -5.842 0.000 5.842 5.842 0.000 -5.801 0.000 5.842" Properties=species:S:1:pos:R:3 pbc="T T T"
La 0.000 0.000 0.000
La 2.921 2.921 0.000
La 2.921 -2.921 0.000
La 2.941 0.000 2.921
Pr -2.901 0.000 2.921
Pr 0.020 2.921 2.921
Pr 0.020 -2.921 2.921
S -2.899 0.000 5.834
S 0.014 0.000 2.912
S 5.842 2.935 0.000
S 2.941 2.925 2.921
S 2.941 -2.925 2.921
S 5.842 -2.935 0.000
S 5.868 0.000 2.930
S 8.781 0.000 0.008
```

---

Material: LaPr4S5
Method: DFT, PBE
State: relaxed

Summary:
**Spin magnetization**: 0.0 μB/f.u.
**Uncorrected energy**: -65.2 eV/cell
**Space group**: I4/mmm
**Raw formation energy**: -2.0496 eV/atom
**V**: 246.6 Å³/cell

The structure in extended XYZ format:
```
10
Lattice="-2.056 2.056 14.580 2.056 -2.056 14.580 2.056 2.056 -14.580" Properties=species:S:1:pos:R:3 pbc="T T T"
La 0.000 0.000 0.000
Pr 0.000 0.000 5.792
Pr 0.000 0.000 11.630
Pr 0.000 0.000 17.530
Pr 0.000 0.000 23.367
S 0.000 0.000 2.913
S 0.000 0.000 8.716
S 0.000 0.000 14.580
S 0.000 0.000 20.443
S 0.000 0.000 26.246
```

---

Material: La2Pr2S3
Method: DFT, PBE
State: relaxed

Summary:
**Spin magnetization**: 0.0 μB/f.u.
**Uncorrected energy**: -88.3 eV/cell
**Space group**: C2/m
**Raw formation energy**: -1.7669 eV/atom
**V**: 392.8 Å³/cell

The structure in extended XYZ format:
```
14
Lattice="13.652 0.000 0.000 0.000 4.121 0.000 -1.350 0.000 6.983" Properties=species:S:1:pos:R:3 pbc="T T T"
La 1.215 0.000 2.613
La 4.261 2.060 4.370
La 8.040 2.060 2.613
La 11.087 0.000 4.370
Pr 0.598 2.060 6.087
Pr 4.878 0.000 0.895
Pr 7.424 0.000 6.087
Pr 11.704 2.060 0.895
S -0.675 2.060 3.491
S 2.397 0.000 5.233
S 3.079 2.060 1.749
S 6.151 0.000 3.491
S 9.905 0.000 1.749
S 9.222 2.060 5.233
```

---

Material: La3Pr2S4
Method: DFT, PBE
State: relaxed

Summary:
**Spin magnetization**: 0.0 μB/f.u.
**Uncorrected energy**: -57.5 eV/cell
**Space group**: C2/m
**Raw formation energy**: -1.8491 eV/atom
**V**: 247.3 Å³/cell

The structure in extended XYZ format:
```
9
Lattice="6.857 -2.067 0.000 6.857 2.067 0.000 -5.057 0.000 8.724" Properties=species:S:1:pos:R:3 pbc="T T T"
La 0.000 0.000 0.000
La -1.290 0.000 6.941
La 9.946 0.000 1.782
Pr 2.382 0.000 5.271
Pr 6.275 0.000 3.452
S 1.229 0.000 2.644
S 4.961 0.000 0.867
S 3.696 0.000 7.856
S 7.428 0.000 6.079
```

---

Material: LaPr4S6
Method: DFT, PBE
State: relaxed

Summary:
**Spin magnetization**: 0.0 μB/f.u.
**Uncorrected energy**: -143.0 eV/cell
**Space group**: Cmcm
**Raw formation energy**: -2.0627 eV/atom
**V**: 563.0 Å³/cell

The structure in extended XYZ format:
```
22
Lattice="2.023 -6.767 0.000 2.023 6.767 0.000 0.000 0.000 20.564" Properties=species:S:1:pos:R:3 pbc="T T T"
La 2.023 4.654 15.423
La 2.023 -4.654 5.141
Pr 2.023 5.525 2.645
Pr 2.023 5.525 7.637
Pr 2.023 1.889 0.839
Pr 2.023 1.889 9.443
Pr 2.023 -1.889 11.121
Pr 2.023 -1.889 19.725
Pr 2.023 -5.525 12.927
Pr 2.023 -5.525 17.919
S 0.000 0.000 0.000
S 0.000 0.000 10.282
S 2.023 4.147 5.141
S 2.023 3.129 12.156
S 2.023 3.129 18.690
S 2.023 0.675 3.462
S 2.023 0.675 6.820
S 2.023 -0.675 13.744
S 2.023 -0.675 17.101
S 2.023 -3.129 1.874
S 2.023 -3.129 8.408
S 2.023 -4.147 15.423
```